(1)
The following is a PBEsol calculation of CaMg3 after structural relaxation, from Alexandria via LeMat-Bulk.

Structure (CIF):
```
data_CaMg3
_cell_length_a 5.1096
_cell_length_b 5.1096
_cell_length_c 9.6945
_cell_angle_alpha 90.00
_cell_angle_beta 90.00
_cell_angle_gamma 120.00
_space_group_name_H-M_alt 'P 63/m m c'
_space_group_IT_number 194
_space_group_name_Hall '-P 6c 2c'
loop_
_atom_site_label
_atom_site_fract_x
_atom_site_fract_y
_atom_site_fract_z
Ca1 0.3333 0.6667 0.2500
Mg1 0.0000 0.0000 0.0000
Mg2 0.3333 0.6667 0.5869
```

Calculated values
energy	-1.83	eV/atom
energy of formation from the pure elements	-0.0117	eV per atom
density of states at the Fermi level	0.58	states/eV per atom

=====

(2)
The following is a PBEsol calculation of Zr5Co3 after structural relaxation, from Alexandria via LeMat-Bulk.

Structure (CIF):
```
data_Zr5Co3
_cell_length_a 7.5952
_cell_length_b 7.5952
_cell_length_c 5.4685
_cell_angle_alpha 90.00
_cell_angle_beta 90.00
_cell_angle_gamma 120.00
_space_group_name_H-M_alt 'P 63/m c m'
_space_group_IT_number 193
_space_group_name_Hall '-P 6c 2'
loop_
_atom_site_label
_atom_site_fract_x
_atom_site_fract_y
_atom_site_fract_z
Zr1 0.0000 0.2429 0.2500
Zr2 0.3333 0.6667 0.0000
Co1 0.0000 0.3975 0.7500
```

Calculated values
energy	-8.83	eV/atom
energy of formation from the pure elements	-0.2484	eV per atom
density of states at the Fermi level	0.93	states/eV per atom

=====

(3)
The following is a PBEsol calculation of KSrNi after structural relaxation, from Alexandria via LeMat-Bulk.

Structure (CIF):
```
data_KSrNi
_cell_length_a 3.731
_cell_length_b 3.731
_cell_length_c 14.867
_cell_angle_alpha 90.00
_cell_angle_beta 90.00
_cell_angle_gamma 90.00
_space_group_name_H-M_alt 'I 4 m m'
_space_group_IT_number 107
_space_group_name_Hall 'I 4 -2'
loop_
_atom_site_label
_atom_site_fract_x
_atom_site_fract_y
_atom_site_fract_z
K1 0.000 0.000 0.000
Sr1 0.000 0.000 0.240
Ni1 0.000 0.000 0.650
```

Calculated values
energy	-2.64	eV/atom
energy of formation from the pure elements	0.4024	eV per atom
density of states at the Fermi level	0.65	states/eV per atom